# ZrSc3Al8 | Alexandria via LeMat-Bulk | PBE-GGA | optimized geometry
data_ZrSc3Al8
_cell_length_a 9.265
_cell_length_b 9.265
_cell_length_c 9.265
_cell_angle_alpha 33.53
_cell_angle_beta 33.53
_cell_angle_gamma 33.53
_symmetry_space_group_name_H-M 'P 1'
_symmetry_Int_Tables_number 1
loop_
_symmetry_equiv_pos_as_xyz
'x,y,z'
loop_
_atom_site_label
_atom_site_fract_x
_atom_site_fract_y
_atom_site_fract_z
Zr1 0.000 0.000 0.000
Sc1 0.375 0.375 0.375
Sc2 0.500 0.500 0.500
Sc3 0.875 0.875 0.875
Al1 0.187 0.187 0.187
Al2 0.436 0.937 0.937
Al3 0.438 0.438 0.938
Al4 0.438 0.938 0.438
Al5 0.687 0.687 0.687
Al6 0.937 0.436 0.937
Al7 0.937 0.937 0.436
Al8 0.938 0.438 0.438
# Space-group type ... No. 160
# Crystal system ... trigonal
# Relative energy among the computed polymorphs ... 0.00 eV per formula unit
# Energy of formation from the pure elements ... -11.5 kcal/mol of atoms